[1]
Computed, not measured: a relaxed MgCr2Si2 crystal at the PBE level of DFT.

As for the raw total energy: -6.339 eV/atom. As for the energy relative to the lowest polymorph listed for this composition: 128 meV/atom. The value obtained for the uncorrected formation energy is -0.0012 eV per atom.

The space group is P4/mbm (No. 127) and the conventional cell measures 7.155, 7.155 and 2.700 Å, with angles of 90.00, 90.00 and 90.00 degrees. The asymmetric unit holds Mg at (0.000, 0.000, 0.000), Cr at (0.129, 0.371, 0.000) and Si at (0.165, 0.665, 0.500).

***

[2]
Computed, not measured: a relaxed Mg2CrSi crystal at the PBE level of DFT.

As for the raw total energy: -4.308 eV/atom. The value obtained for the uncorrected formation energy is 0.2507 eV per atom.

The space group is Pm (No. 6) and the conventional cell measures 2.831, 4.117 and 5.644 Å, with angles of 90.00, 101.43 and 90.00 degrees. The asymmetric unit holds Mg at (0.000, 0.000, 0.000), Mg at (0.371, 0.500, 0.709), Cr at (0.802, 0.000, 0.453) and Si at (0.497, 0.500, 0.265).

***

[3]
Computed, not measured: a relaxed MgCrSi crystal at the PBE level of DFT.

As for the raw total energy: -5.323 eV/atom. The value obtained for the uncorrected formation energy is 0.2238 eV per atom.

The space group is Fmm2 (No. 42) and the conventional cell measures 3.351, 4.229 and 12.403 Å, with angles of 90.00, 90.00 and 90.00 degrees. The asymmetric unit holds Mg at (0.000, 0.000, 0.000), Cr at (0.000, 0.000, 0.325) and Si at (0.000, 0.000, 0.689).

***

[4]
Computed, not measured: a relaxed MgCr2Si crystal at the PBE level of DFT.

As for the raw total energy: -6.489 eV/atom. The value obtained for the uncorrected formation energy is 0.0767 eV per atom.

The space group is F-43m (No. 216) and the conventional cell measures 5.990, 5.990 and 5.990 Å, with angles of 90.00, 90.00 and 90.00 degrees. The asymmetric unit holds Mg at (0.000, 0.000, 0.000), Cr at (0.000, 0.000, 0.500), Cr at (0.250, 0.250, 0.250) and Si at (0.250, 0.250, 0.750).

***

[5]
Computed, not measured: a relaxed MgCr2Si crystal at the PBE level of DFT.

As for the raw total energy: -6.404 eV/atom. The value obtained for the uncorrected formation energy is 0.1620 eV per atom.

The space group is Imm2 (No. 44) and the conventional cell measures 3.102, 4.221 and 8.303 Å, with angles of 90.00, 90.00 and 90.00 degrees. The asymmetric unit holds Mg at (0.000, 0.000, 0.000), Cr at (0.000, 0.000, 0.519), Cr at (0.000, 0.500, 0.233) and Si at (0.000, 0.500, 0.773).

***

[6]
Computed, not measured: a relaxed Mg2CrSi crystal at the PBE level of DFT.

As for the raw total energy: -3.871 eV/atom. The value obtained for the uncorrected formation energy is 0.6879 eV per atom.

The space group is I-42d (No. 122) and the conventional cell measures 7.425, 7.425 and 5.040 Å, with angles of 90.00, 90.00 and 90.00 degrees. The asymmetric unit holds Mg at (0.236, 0.250, 0.125), Cr at (0.000, 0.000, 0.500) and Si at (0.000, 0.000, 0.000).